The following is a PBE calculation of crystalline BaLaIn at its relaxed geometry, from Alexandria.

Properties
E above lowest polymorph   97 meV/atom
Energy of formation from the pure elements   -226 meV per atom
Symmetry   Cm, No. 8

Structure (POSCAR):
```
BaLaIn
1.0
-3.0822 1.2752 2.3263
-3.7481 -3.4923 -3.0530
3.0248 -7.9809 4.8332
La In Ba
2 2 2
direct
0.6469 0.1337 0.9541 La
0.5190 0.6651 0.6976 La
0.2837 0.2024 0.2283 In
0.1524 0.6128 0.9644 In
0.8080 0.6961 0.2766 Ba
0.9486 0.1761 0.5572 Ba
```

The following is a PBE calculation of crystalline LiPW2 at its relaxed geometry, from Alexandria.

Properties
Energy of formation from the pure elements   370 meV per atom
Symmetry   R-3m, No. 166

Structure (POSCAR):
```
LiPW2
1.0
-3.2694 -2.2741 7.8518
-0.9469 -3.9660 7.8029
-0.7210 -1.2407 8.6863
W Li P
2 1 1
direct
0.0108 0.0108 0.0108 W
0.4892 0.4892 0.4892 W
0.2500 0.2500 0.2500 Li
0.7500 0.7500 0.7500 P
```

The following is a PBE calculation of crystalline Cs3Li2HoBr9 at its relaxed geometry, from Alexandria.

Properties
Final energy   -50.163 eV/cell
Symmetry   P-3m1, No. 164

Structure (POSCAR):
```
Cs3Li2HoBr9
1.0
7.8229 0.0000 0.0000
-3.9115 6.7749 0.0000
0.0000 0.0000 9.7530
Br Li Cs Ho
9 2 3 1
direct
0.6652 0.8326 0.3344 Br
0.0000 0.5000 0.0000 Br
0.5000 0.5000 0.0000 Br
0.1674 0.3348 0.3344 Br
0.5000 0.0000 0.0000 Br
0.3348 0.1674 0.6656 Br
0.8326 0.6652 0.6656 Br
0.8326 0.1674 0.6656 Br
0.1674 0.8326 0.3344 Br
0.6667 0.3333 0.8547 Li
0.3333 0.6667 0.1453 Li
0.3333 0.6667 0.6739 Cs
0.6667 0.3333 0.3261 Cs
0.0000 0.0000 0.0000 Cs
0.0000 0.0000 0.5000 Ho
```

The following is a PBE calculation of crystalline ReSbOs3 at its relaxed geometry, from Alexandria.

Properties
E above lowest polymorph   912 meV/atom
Symmetry   Pm-3m, No. 221

Structure (POSCAR):
```
ReSbOs3
1.0
4.7333 0.0000 0.0000
0.0000 4.7333 0.0000
0.0000 0.0000 4.7333
Re Os Sb
1 3 1
direct
0.5000 0.5000 0.5000 Re
0.0000 0.0000 0.5000 Os
0.0000 0.5000 0.0000 Os
0.5000 0.0000 0.0000 Os
0.0000 0.0000 0.0000 Sb
```

The following is a PBE calculation of crystalline Li4EuBi at its relaxed geometry, from Alexandria.

Properties
Energy of formation from the pure elements   -222 meV per atom
Symmetry   F-43m, No. 216

Structure (POSCAR):
```
Li4EuBi
1.0
5.8566 0.0000 0.0000
2.9283 5.0720 0.0000
2.9283 1.6907 4.7819
Bi Li Eu
1 4 1
direct
0.0000 0.0000 0.0000 Bi
0.1251 0.6250 0.6250 Li
0.6250 0.6250 0.6250 Li
0.6250 0.6250 0.1251 Li
0.6250 0.1251 0.6250 Li
0.2500 0.2500 0.2500 Eu
```

The following is a PBE calculation of crystalline BaAl4Au2 at its relaxed geometry, from Alexandria.

Properties
Energy of formation from the pure elements   -502 meV per atom
Symmetry   Pnma, No. 62

Structure (POSCAR):
```
BaAl4Au2
1.0
4.3713 0.0000 0.0000
0.0000 7.6543 0.0000
0.0000 0.0000 17.8432
Au Ba Al
8 4 16
direct
0.7500 0.3283 0.4607 Au
0.7500 0.1717 0.9607 Au
0.2500 0.5322 0.2647 Au
0.7500 0.4678 0.7353 Au
0.7500 0.0322 0.2353 Au
0.2500 0.6717 0.5393 Au
0.2500 0.8283 0.0393 Au
0.2500 0.9678 0.7647 Au
0.2500 0.4943 0.8875 Ba
0.2500 0.0057 0.3875 Ba
0.7500 0.9943 0.6125 Ba
0.7500 0.5057 0.1125 Ba
0.7500 0.7164 0.3004 Al
0.7500 0.7836 0.8004 Al
0.7500 0.5076 0.5939 Al
0.2500 0.6636 0.6915 Al
0.7500 0.1636 0.8085 Al
0.2500 0.2164 0.1996 Al
0.2500 0.2836 0.6996 Al
0.7500 0.8000 0.9567 Al
0.7500 0.7000 0.4567 Al
0.7500 0.9924 0.0939 Al
0.7500 0.3364 0.3085 Al
0.2500 0.0076 0.9061 Al
0.2500 0.4924 0.4061 Al
0.2500 0.2000 0.0433 Al
0.2500 0.8364 0.1915 Al
0.2500 0.3000 0.5433 Al
```